# MgTiTe2 PBE-GGA relaxed
# Formation energy without anion corrections: -0.4486 eV per atom
# Calculated density: 3.992 g/cm³
data_MgTiTe2
_symmetry_space_group_name_H-M 'I -4 2 d'
_symmetry_Int_Tables_number 122
_symmetry_space_group_name_Hall 'I -4 2bw'
_cell_length_a 6.478
_cell_length_b 6.478
_cell_length_c 12.982
_cell_angle_alpha 90.00
_cell_angle_beta 90.00
_cell_angle_gamma 90.00
loop_
_atom_site_label
_atom_site_type_symbol
_atom_site_fract_x
_atom_site_fract_y
_atom_site_fract_z
_atom_site_occupancy
Mg1 Mg 0.000 0.000 0.000 1
Ti1 Ti 0.000 0.000 0.500 1
Te1 Te 0.244 0.250 0.625 1